Compound: Al2Cu9Ge
Source: Alexandria via LeMat-Bulk
Functional: PBE
Structure: optimized geometry

As for the formation energy: -0.119 eV/atom. The space group is No. 123. The value obtained for the volume is 151 Å³ per cell. Its calculated total energy is -4.200 eV per atom.

Cell: 3.7196 3.7196 10.9356 Å, 90.00 90.00 90.00°
With the nearest neighbours (Å) after each atom.
Element x y z (fractional)
Ge 0.0000 0.0000 0.0000  12 Cu 2.61-2.63
Cu 0.0000 0.5000 0.5000  4 Al 2.59, 8 Cu 2.60-2.63
Cu 0.5000 0.5000 0.6664  8 Cu 2.59-2.60, 4 Al 2.63
Cu 0.0000 0.5000 0.1681  8 Cu 2.59-2.63, 2 Al 2.61, 2 Ge 2.61
Cu 0.0000 0.5000 0.8319  8 Cu 2.59-2.63, 2 Al 2.61, 2 Ge 2.61
Cu 0.5000 0.5000 0.0000  8 Cu 2.61, 4 Ge 2.63
Cu 0.5000 0.5000 0.3336  8 Cu 2.59-2.60, 4 Al 2.63
Al 0.0000 0.0000 0.3350  12 Cu 2.59-2.63
Cu 0.5000 0.0000 0.8319  8 Cu 2.59-2.63, 2 Al 2.61, 2 Ge 2.61
Cu 0.5000 0.0000 0.5000  4 Al 2.59, 8 Cu 2.60-2.63
Cu 0.5000 0.0000 0.1681  8 Cu 2.59-2.63, 2 Al 2.61, 2 Ge 2.61
Al 0.0000 0.0000 0.6650  12 Cu 2.59-2.63

Compound: Er6TlCd5
Source: Alexandria via LeMat-Bulk
Functional: PBE
Structure: optimized geometry

As for the formation energy: -0.321 eV/atom. The space group is No. 10. The value obtained for the volume is 309 Å³ per cell. Its calculated total energy is -3.181 eV per atom.

Cell: 5.2502 7.4483 8.3182 Å, 90.00 71.77 90.00°
With the nearest neighbours (Å) after each atom.
Element x y z (fractional)
Cd 0.3290 0.0000 0.3424  8 Er 3.17-3.29
Tl 0.0000 0.0000 0.0000  8 Er 3.23-3.24
Er 0.8328 0.2525 0.3346  7 Cd 3.17-3.23, 1 Tl 3.24
Er 0.5000 0.2517 0.0000  6 Cd 3.21-3.29, 2 Tl 3.23
Cd 0.3335 0.5000 0.3329  8 Er 3.21-3.22
Cd 0.6665 0.5000 0.6671  8 Er 3.21-3.22
Cd 0.0000 0.5000 0.0000  8 Er 3.21-3.22
Er 0.1672 0.7475 0.6654  7 Cd 3.17-3.23, 1 Tl 3.24
Er 0.8328 0.7475 0.3346  7 Cd 3.17-3.23, 1 Tl 3.24
Er 0.5000 0.7483 0.0000  6 Cd 3.21-3.29, 2 Tl 3.23
Er 0.1672 0.2525 0.6654  7 Cd 3.17-3.23, 1 Tl 3.24
Cd 0.6710 0.0000 0.6576  8 Er 3.17-3.29

Compound: YAgMo2
Source: Alexandria via LeMat-Bulk
Functional: PBE
Structure: optimized geometry

As for the formation energy: 0.482 eV/atom. The space group is No. 8. The value obtained for the volume is 77 Å³ per cell. Its calculated total energy is -7.263 eV per atom. The relative energy among the computed polymorphs is 288.2 meV/atom.

Cell: 4.9638 4.9638 5.7160 Å, 86.03 86.03 33.01°
With the nearest neighbours (Å) after each atom.
Element x y z (fractional)
Y 0.4927 0.4927 0.5089  2 Y 2.82, 3 Ag 2.86-3.01, 3 Mo 2.96-3.08
Mo 0.2522 0.2522 0.2070  3 Mo 2.58-2.82
Mo 0.0107 0.0107 0.0296  3 Mo 2.58-2.82
Ag 0.7445 0.7445 0.7545  2 Ag 2.82, 3 Y 2.86-3.01, 5 Mo 2.95-3.08

Compound: YTaZn2
Source: Alexandria via LeMat-Bulk
Functional: PBE
Structure: optimized geometry

As for the formation energy: 0.033 eV/atom. The space group is No. 65. The value obtained for the volume is 75 Å³ per cell. Its calculated total energy is -5.183 eV per atom. The relative energy among the computed polymorphs is 65.4 meV/atom.

Cell: 5.0256 5.0256 3.0128 Å, 90.02 90.02 101.26°
With the nearest neighbours (Å) after each atom.
Element x y z (fractional)
Zn 0.5000 0.5000 0.0000  4 Y 2.93, 4 Ta 2.93, 4 Zn 3.01-3.19
Y 0.0000 0.5000 0.5000  8 Zn 2.93, 2 Y 3.01, 2 Ta 3.19
Ta 0.5000 0.0000 0.5000  8 Zn 2.93, 2 Ta 3.01, 2 Y 3.19
Zn 0.0000 0.0000 0.0000  4 Ta 2.93, 4 Y 2.93, 4 Zn 3.01-3.19

Compound: BRh3O
Source: Alexandria via LeMat-Bulk
Functional: PBE
Structure: optimized geometry

The space group is No. 221. The value obtained for the volume is 68 Å³ per cell. Its calculated total energy is -6.090 eV per atom. The relative energy among the computed polymorphs is 0.0 meV/atom.

Cell: 4.0755 4.0755 4.0755 Å, 90.00 90.00 90.00°
With the nearest neighbours (Å) after each atom.
Element x y z (fractional)
Rh 0.0000 0.5000 0.0000  2 B 2.04
O 0.5000 0.5000 0.5000  12 Rh 2.88
B 0.0000 0.0000 0.0000  6 Rh 2.04
Rh 0.5000 0.0000 0.0000  2 B 2.04
Rh 0.0000 0.0000 0.5000  2 B 2.04

Compound: SrCaTiO4
Source: Alexandria via LeMat-Bulk
Functional: PBE
Structure: optimized geometry

The space group is No. 107. The value obtained for the volume is 93 Å³ per cell. Its calculated total energy is -7.527 eV per atom.

Cell: 3.8926 3.8926 6.7563 Å, 106.74 106.74 90.00°
With the nearest neighbours (Å) after each atom.
Element x y z (fractional)
O 0.1656 0.1656 0.3312  1 Ti 2.07
Ti 0.9976 0.9976 0.9953  6 O 1.94-2.07
O 0.8405 0.8405 0.6811  1 Ti 1.94
O 0.9973 0.4973 0.9946  2 Ti 1.95
O 0.4973 0.9973 0.9946  2 Ti 1.95
Ca 0.3549 0.3549 0.7097  1 O 2.34
Sr 0.6467 0.6467 0.2934  1 O 2.39

Compound: In2ReRh
Source: Alexandria via LeMat-Bulk
Functional: PBE
Structure: optimized geometry

As for the formation energy: 0.758 eV/atom. The space group is No. 122. The value obtained for the volume is 156 Å³ per cell. Its calculated total energy is -5.561 eV per atom. The relative energy among the computed polymorphs is 609.8 meV/atom.

Cell: 7.3812 7.3812 5.9546 Å, 51.70 51.70 90.00°
With the nearest neighbours (Å) after each atom.
Element x y z (fractional)
Re 0.0000 0.0000 0.0000  4 In 2.77, 2 Rh 2.87
Re 0.7500 0.2500 0.5000  4 In 2.77, 2 Rh 2.87
Rh 0.5000 0.5000 0.0000  4 In 2.64, 2 Re 2.87
In 0.1377 0.6250 0.2500  2 Rh 2.64, 2 Re 2.77, 2 In 2.87
In 0.6123 0.1250 0.2500  2 Rh 2.64, 2 Re 2.77, 2 In 2.87
In 0.8750 0.8623 0.7500  2 Rh 2.64, 2 Re 2.77, 2 In 2.87
In 0.3750 0.3877 0.7500  2 Rh 2.64, 2 Re 2.77, 2 In 2.87
Rh 0.2500 0.7500 0.5000  4 In 2.64, 2 Re 2.87

Compound: Si2P
Source: Alexandria via LeMat-Bulk
Functional: PBE
Structure: optimized geometry

The space group is No. 2. The value obtained for the volume is 130 Å³ per cell. Its calculated total energy is -5.414 eV per atom. The relative energy among the computed polymorphs is 1.5 meV/atom.

Cell: 3.6358 5.4155 7.2411 Å, 88.94 76.49 70.44°
With the nearest neighbours (Å) after each atom.
Element x y z (fractional)
P 0.2326 0.8201 0.6920  3 Si 2.30-2.31
Si 0.4381 0.9699 0.1658  2 P 2.31, 2 Si 2.33-2.37
Si 0.5619 0.0301 0.8342  2 P 2.31, 2 Si 2.33-2.37
Si 0.3062 0.4847 0.8955  1 P 2.30, 3 Si 2.33-2.34
Si 0.6938 0.5153 0.1045  1 P 2.30, 3 Si 2.33-2.34
P 0.7674 0.1799 0.3080  3 Si 2.30-2.31